NdAl2Zn4Au: optimized geometry, GGA-PBE.

Results
- SG = R-3m (166)
- total DFT energy (no corrections) (eV/atom) = -2.80
- DOS(E_F) (states/eV per atom) = 0.3320
- DFT formation energy (eV/atom) = -0.222
- calculated density (g cm⁻³) = 7.36

Cell and atoms, written as POSCAR:
```
NdAl2Zn4Au
1.0
2.1861 1.2621 8.9453
-2.1861 1.2621 8.9453
0.0000 -2.5243 8.9453
Nd Al Zn Au
1 2 4 1
direct
0.0000 0.0000 0.0000
0.2521 0.2521 0.2521
0.7479 0.7479 0.7479
0.1255 0.1255 0.1255
0.3996 0.3996 0.3996
0.6004 0.6004 0.6004
0.8745 0.8745 0.8745
0.5000 0.5000 0.5000
```